1.
# K2SrCu

K2SrCu at its PBEsol-relaxed geometry (meta-GGA SCAN, the Alexandria database).

Output
The calculation puts the formation energy at 373.6 meV/atom.

Unit cell a=12.011 b=12.011 c=12.011 alpha=20.68 beta=20.68 gamma=20.68
Positions (direct):
K (0.225, 0.225, 0.225)
K (0.775, 0.775, 0.775)
Sr (0.000, 0.000, 0.000)
Cu (0.500, 0.500, 0.500)

***

2.
# K2SrCu

K2SrCu at its PBEsol-relaxed geometry (meta-GGA SCAN, the Alexandria database).

Output
The calculation puts the formation energy at 400.8 meV/atom.

Unit cell a=7.374 b=7.374 c=7.374 alpha=141.00 beta=141.00 gamma=56.34
Positions (direct):
K (0.250, 0.750, 0.500)
K (0.750, 0.250, 0.500)
Sr (0.000, 0.000, 0.000)
Cu (0.500, 0.500, 0.000)

***

3.
# KSrCu2

KSrCu2 at its PBEsol-relaxed geometry (meta-GGA SCAN, the Alexandria database).

Output
The calculation puts the formation energy at 312.9 meV/atom.

Unit cell a=3.463 b=3.463 c=9.068 alpha=90.00 beta=90.00 gamma=90.00
Positions (direct):
K (0.000, 0.000, 0.000)
Sr (0.500, 0.500, 0.430)
Cu (0.000, 0.000, 0.662)
Cu (0.500, 0.500, 0.734)

***

4.
# KTaCu2

KTaCu2 at its PBEsol-relaxed geometry (meta-GGA SCAN, the Alexandria database).

Output
The calculation puts the formation energy at 446.0 meV/atom.

Unit cell a=3.130 b=3.130 c=7.817 alpha=90.00 beta=90.00 gamma=90.00
Positions (direct):
K (0.000, 0.000, 0.000)
Ta (0.000, 0.000, 0.500)
Cu (0.500, 0.500, 0.321)
Cu (0.500, 0.500, 0.679)

***

5.
# KTaCu2

KTaCu2 at its PBEsol-relaxed geometry (meta-GGA SCAN, the Alexandria database).

Output
The calculation puts the formation energy at 681.4 meV/atom.

Unit cell a=2.628 b=5.133 c=5.132 alpha=90.00 beta=90.00 gamma=90.00
Positions (direct):
K (0.000, 0.000, 0.000)
Ta (0.000, 0.500, 0.499)
Cu (0.500, 0.000, 0.500)
Cu (0.500, 0.500, 0.999)

***

6.
# KTaCu2

KTaCu2 at its PBEsol-relaxed geometry (meta-GGA SCAN, the Alexandria database).

Output
The calculation puts the formation energy at 603.7 meV/atom.

Unit cell a=4.513 b=4.513 c=7.148 alpha=94.68 beta=94.68 gamma=34.49
Positions (direct):
K (0.000, 0.000, 0.000)
Ta (0.500, 0.500, 0.500)
Cu (0.242, 0.242, 0.654)
Cu (0.758, 0.758, 0.346)

***

Copy entry 4 word for word.
# KTaCu2

KTaCu2 at its PBEsol-relaxed geometry (meta-GGA SCAN, the Alexandria database).

Output
The calculation puts the formation energy at 446.0 meV/atom.

Unit cell a=3.130 b=3.130 c=7.817 alpha=90.00 beta=90.00 gamma=90.00
Positions (direct):
K (0.000, 0.000, 0.000)
Ta (0.000, 0.000, 0.500)
Cu (0.500, 0.500, 0.321)
Cu (0.500, 0.500, 0.679)